Below is crystalline Hf2Zn2P at its relaxed geometry, with properties calculated at the PBE level.

Unit cell a=6.696 b=6.696 c=4.339 alpha=90.00 beta=90.00 gamma=90.00
Sites, in units of the cell vectors:
Hf (0.164, 0.336, 0.000)
Hf (0.336, 0.836, 0.000)
Hf (0.664, 0.164, 0.000)
Hf (0.836, 0.664, 0.000)
Zn (0.136, 0.636, 0.500)
Zn (0.364, 0.136, 0.500)
Zn (0.636, 0.864, 0.500)
Zn (0.864, 0.364, 0.500)
P (0.000, 0.000, 0.000)
P (0.500, 0.500, 0.000)

Results
VASP energy: -5.9326 eV/atom
N(E_F): 3.049 states/eV/f.u.
E_form: -0.36 eV/atom
Space-group type: P4/mbm, No. 127